YCrSi2 | GGA-PBEsol | relaxed

- E_form (uncorrected): -0.476 eV per atom
- Symmetry: C2/m, No. 12
- Size of the total moment: 0.004 Bohr magnetons per cell
- DOS(E_F): 0.643 states/eV/atom
- VASP energy: -30.46 eV/f.u.

abc: 4.198 4.198 5.248
angles: 108.13 108.13 50.48
Element x y z (fractional)
Y1 0.000 0.000 0.000
Cr1 0.500 0.500 0.500
Si1 0.227 0.227 0.641
Si2 0.773 0.773 0.359

***

ZnCrSi | GGA-PBEsol | relaxed

- E_form (uncorrected): 0.176 eV per atom
- Symmetry: P3m1, No. 156
- Size of the total moment: 1.185 Bohr magnetons per cell
- DOS(E_F): 0.924 states/eV/atom
- Excess energy over the best structure of this formula in the dataset: 0.0000 eV per atom
- VASP energy: -17.04 eV/f.u.

abc: 2.675 2.675 6.234
angles: 90.00 90.00 120.00
Element x y z (fractional)
Zn1 0.000 0.000 0.000
Cr1 0.333 0.667 0.661
Si1 0.667 0.333 0.358

***

ZnCrSi | GGA-PBEsol | relaxed

- E_form (uncorrected): 0.322 eV per atom
- Symmetry: F-43m, No. 216
- Size of the total moment: 2.449 Bohr magnetons per cell
- DOS(E_F): 0.437 states/eV/atom
- Excess energy over the best structure of this formula in the dataset: 0.1464 eV per atom
- VASP energy: -16.60 eV/f.u.

abc: 4.027 4.027 4.027
angles: 60.00 60.00 60.00
Element x y z (fractional)
Zn1 0.000 0.000 0.000
Cr1 0.750 0.750 0.750
Si1 0.500 0.500 0.500

***

Zr2Cr3Si | GGA-PBEsol | relaxed

- E_form (uncorrected): -0.346 eV per atom
- Symmetry: P6_3/mmc, No. 194
- Size of the total moment: 0.000 Bohr magnetons per cell
- DOS(E_F): 0.850 states/eV/atom
- VASP energy: -56.73 eV/f.u.

abc: 4.914 4.914 8.314
angles: 90.00 90.00 120.00
Element x y z (fractional)
Zr1 0.333 0.667 0.065
Zr2 0.333 0.667 0.435
Zr3 0.667 0.333 0.565
Zr4 0.667 0.333 0.935
Cr1 0.172 0.343 0.750
Cr2 0.172 0.828 0.750
Cr3 0.343 0.172 0.250
Cr4 0.657 0.828 0.750
Cr5 0.828 0.172 0.250
Cr6 0.828 0.657 0.250
Si1 0.000 0.000 0.000
Si2 0.000 0.000 0.500

***

Zr2Cr4Si5 | GGA-PBEsol | relaxed

- E_form (uncorrected): -0.618 eV per atom
- Symmetry: Ibam, No. 72
- Size of the total moment: 0.006 Bohr magnetons per cell
- DOS(E_F): 0.729 states/eV/atom
- VASP energy: -94.68 eV/f.u.

abc: 9.157 9.157 9.157
angles: 131.48 58.70 149.00
Element x y z (fractional)
Zr1 0.141 0.121 0.262
Zr2 0.359 0.621 0.980
Zr3 0.641 0.379 0.020
Zr4 0.859 0.879 0.738
Cr1 0.059 0.750 0.309
Cr2 0.062 0.747 0.809
Cr3 0.438 0.247 0.685
Cr4 0.441 0.750 0.691
Cr5 0.559 0.250 0.309
Cr6 0.562 0.753 0.315
Cr7 0.938 0.253 0.191
Cr8 0.941 0.250 0.691
Si1 0.064 0.427 0.491
Si2 0.211 0.791 0.002
Si3 0.250 0.250 0.000
Si4 0.289 0.291 0.580
Si5 0.436 0.927 0.362
Si6 0.564 0.073 0.638
Si7 0.711 0.709 0.420
Si8 0.750 0.750 0.000
Si9 0.789 0.209 0.998
Si10 0.936 0.573 0.509

***

ZrCrSi | GGA-PBEsol | relaxed

- E_form (uncorrected): -0.643 eV per atom
- Symmetry: Pnma, No. 62
- Size of the total moment: 0.000 Bohr magnetons per cell
- DOS(E_F): 0.548 states/eV/atom
- VASP energy: -27.01 eV/f.u.

abc: 6.702 3.450 7.833
angles: 90.00 90.00 90.00
Element x y z (fractional)
Zr1 0.042 0.250 0.169
Zr2 0.458 0.750 0.669
Zr3 0.542 0.250 0.331
Zr4 0.958 0.750 0.831
Cr1 0.120 0.250 0.557
Cr2 0.380 0.750 0.057
Cr3 0.620 0.250 0.943
Cr4 0.880 0.750 0.443
Si1 0.240 0.750 0.366
Si2 0.260 0.250 0.866
Si3 0.740 0.750 0.134
Si4 0.760 0.250 0.634